The following is a DFT calculation (PBEsol) of a geometry-optimized ZnAgMo4 structure.

Output
The density of states at the Fermi level comes out at 22.46 states/eV per cell. Its formation enthalpy at 0 K is 0.59 eV/atom. Its crystal system is cubic. The value obtained for the total energy is -8.0662 eV per atom.

abc: 7.305 7.305 7.305
angles: 90.00 90.00 90.00
Space group F-43m (No. 216)
Asymmetric unit:
Zn 0.000 0.000 0.000 [4 per cell]
Ag 0.250 0.250 0.250 [4 per cell]
Mo 0.125 0.125 0.625 [16 per cell]

***

The following is a DFT calculation (PBEsol) of a geometry-optimized Zr2AgMo structure.

Output
The density of states at the Fermi level comes out at 8.12 states/eV per cell. The value obtained for the energy above the lowest structure with this stoichiometry is 1.24 eV per formula unit. Its formation enthalpy at 0 K is 0.21 eV/atom. Its crystal system is orthorhombic. The value obtained for the total energy is -8.1056 eV per atom.

abc: 3.413 4.469 9.676
angles: 90.00 90.00 90.00
Space group Cmm2 (No. 35)
Asymmetric unit:
Zr 0.000 0.000 0.000 [2 per cell]
Zr 0.000 0.500 0.286 [2 per cell]
Ag 0.000 0.000 0.536 [2 per cell]
Mo 0.000 0.500 0.767 [2 per cell]

***

The following is a DFT calculation (PBEsol) of a geometry-optimized ZrAgMo2 structure.

Output
The density of states at the Fermi level comes out at 6.84 states/eV per cell. The value obtained for the energy above the lowest structure with this stoichiometry is 0.22 eV per formula unit. Its formation enthalpy at 0 K is 0.38 eV/atom. Its crystal system is orthorhombic. The value obtained for the total energy is -8.6076 eV per atom.

abc: 5.622 9.073 2.641
angles: 90.00 90.00 90.00
Space group Cmmm (No. 65)
Asymmetric unit:
Zr 0.000 0.000 0.000 [2 per cell]
Ag 0.000 0.500 0.000 [2 per cell]
Mo 0.250 0.250 0.500 [4 per cell]

***

The following is a DFT calculation (PBEsol) of a geometry-optimized ZrAgMo4 structure.

Output
The density of states at the Fermi level comes out at 31.49 states/eV per cell. Its formation enthalpy at 0 K is 0.29 eV/atom. Its crystal system is cubic. The value obtained for the total energy is -9.6226 eV per atom.

abc: 7.427 7.427 7.427
angles: 90.00 90.00 90.00
Space group F-43m (No. 216)
Asymmetric unit:
Zr 0.000 0.000 0.000 [4 per cell]
Ag 0.250 0.250 0.750 [4 per cell]
Mo 0.125 0.125 0.375 [16 per cell]

***

The following is a DFT calculation (PBEsol) of a geometry-optimized Zr2AgMo structure.

Output
The density of states at the Fermi level comes out at 7.74 states/eV per cell. The value obtained for the energy above the lowest structure with this stoichiometry is 1.00 eV per formula unit. Its formation enthalpy at 0 K is 0.15 eV/atom. Its crystal system is tetragonal. The value obtained for the total energy is -8.1662 eV per atom.

abc: 4.100 4.100 8.805
angles: 90.00 90.00 90.00
Space group I-4m2 (No. 119)
Asymmetric unit:
Zr 0.000 0.000 0.000 [2 per cell]
Zr 0.000 0.500 0.250 [2 per cell]
Ag 0.000 0.000 0.500 [2 per cell]
Mo 0.000 0.500 0.750 [2 per cell]

***

The following is a DFT calculation (PBEsol) of a geometry-optimized ZrAg2Mo structure.

Output
The density of states at the Fermi level comes out at 4.69 states/eV per cell. The value obtained for the energy above the lowest structure with this stoichiometry is 0.00 eV per formula unit. Its formation enthalpy at 0 K is 0.20 eV/atom. Its crystal system is tetragonal. The value obtained for the total energy is -6.6676 eV per atom.

abc: 3.946 3.946 4.376
angles: 90.00 90.00 90.00
Space group P4/mmm (No. 123)
Asymmetric unit:
Zr 0.000 0.000 0.000 [1 per cell]
Ag 0.000 0.500 0.500 [2 per cell]
Mo 0.500 0.500 0.000 [1 per cell]